1.
Entry from Alexandria: CeNdSc2Se4 after structural relaxation (PBE-GGA).

Properties
* uncorrected formation energy: -13.6 eV/f.u.
* DOS(E_F): 8.93 states/eV/cell
* space-group type: No. 10

abc: 3.9906 6.9335 7.1451
angles: 108.76 90.00 90.00
Fractional coordinates of all 8 atoms:
1 Ce 0.5000 0.5000 0.0000
2 Nd 0.0000 0.0000 0.0000
3 Sc 0.5000 0.0000 0.5000
4 Sc 0.0000 0.5000 0.5000
5 Se 0.5000 0.2605 0.2781
6 Se 0.5000 0.7395 0.7219
7 Se 0.0000 0.2416 0.7226
8 Se 0.0000 0.7584 0.2774

=====

2.
Entry from Alexandria: CaMg2SiNi after structural relaxation (PBE-GGA).

Properties
* uncorrected formation energy: -0.9 eV/f.u.
* DOS(E_F): 2.86 states/eV/cell
* space-group type: No. 123

abc: 4.8388 4.8388 4.4416
angles: 90.00 90.00 90.00
Fractional coordinates of all 5 atoms:
1 Mg 0.0000 0.5000 0.0000
2 Mg 0.5000 0.0000 0.0000
3 Ni 0.0000 0.0000 0.0000
4 Ca 0.5000 0.5000 0.5000
5 Si 0.0000 0.0000 0.5000

=====

3.
Entry from Alexandria: NaMg2Al9 after structural relaxation (PBE-GGA).

Properties
* VASP energy: -3.148 eV/atom
* DOS(E_F): 3.84 states/eV/cell
* space-group type: No. 166

abc: 5.4099 5.4099 9.7061
angles: 73.82 73.82 60.00
Fractional coordinates of all 12 atoms:
1 Na 0.0000 0.0000 0.0000
2 Mg 0.8561 0.8561 0.4316
3 Mg 0.1439 0.1439 0.5684
4 Al 0.6650 0.6650 0.0050
5 Al 0.3350 0.3350 0.9950
6 Al 0.5000 0.5000 0.5000
7 Al 0.4133 0.4133 0.2555
8 Al 0.9179 0.4133 0.2555
9 Al 0.4133 0.9179 0.2555
10 Al 0.5867 0.5867 0.7445
11 Al 0.5867 0.0821 0.7445
12 Al 0.0821 0.5867 0.7445

=====

Asked for calculated volume across the records above, the calculation gives 23.4 20.8 19.4 A^3/atom in order.